[1]
Crystalline Si3Ni at its relaxed geometry, computed with PBE-GGA.

Lattice parameters (Å, degrees): 5.794 5.794 5.794 152.74 47.86 141.44
Fractional positions:
Si 0.000 0.000 0.000
Si 0.406 0.600 0.807
Si 0.793 0.600 0.193
Ni 0.488 0.988 0.500

Formation energy (no corrections) in eV/atom: 0.091
Space-group type: Imm2 (44)
V in A^3/atom: 13.8
Final energy in eV/atom: -5.422


[2]
Crystalline PrSbF at its relaxed geometry, computed with PBE-GGA.

Lattice parameters (Å, degrees): 4.231 5.637 7.415 94.28 105.36 105.99
Fractional positions:
Pr 0.106 0.377 0.261
Pr 0.894 0.623 0.739
Sb 0.395 0.223 0.915
Sb 0.605 0.777 0.085
F 0.334 0.659 0.561
F 0.666 0.341 0.439

Formation energy (no corrections) in eV/atom: -2.116
Excess energy over the best structure of this formula in the dataset in eV/atom: 0.074
Space-group type: P-1 (2)
V in A^3/atom: 27.0
Final energy in eV/atom: -5.707


[3]
Crystalline LiMn2SbN at its relaxed geometry, computed with PBE-GGA.

Lattice parameters (Å, degrees): 3.994 3.994 4.186 90.00 90.00 90.00
Fractional positions:
Li 0.000 0.000 0.000
Mn 0.000 0.500 0.500
Mn 0.500 0.000 0.500
Sb 0.500 0.500 0.000
N 0.000 0.000 0.500

Formation energy (no corrections) in eV/atom: -0.227
Excess energy over the best structure of this formula in the dataset in eV/atom: 0.000
Space-group type: P4/mmm (123)
V in A^3/atom: 13.4
Final energy in eV/atom: -6.767


[4]
Crystalline KRbTlAu at its relaxed geometry, computed with PBE-GGA.

Lattice parameters (Å, degrees): 5.781 5.781 5.781 60.00 60.00 60.00
Fractional positions:
K 0.000 0.000 0.000
Rb 0.250 0.250 0.250
Tl 0.750 0.750 0.750
Au 0.500 0.500 0.500

Excess energy over the best structure of this formula in the dataset in eV/atom: 0.146
Calculated formation energy in eV/atom: -0.024
Space-group type: F-43m (216)
V in A^3/atom: 34.1
Final energy in eV/atom: -1.951


[5]
Crystalline In2NiOs at its relaxed geometry, computed with PBE-GGA.

Lattice parameters (Å, degrees): 5.207 5.207 5.207 135.96 135.96 64.04
Fractional positions:
In 0.000 0.000 0.000
In 0.750 0.250 0.500
Ni 0.250 0.750 0.500
Os 0.500 0.500 0.000

Calculated formation energy in eV/atom: 0.397
Space-group type: I-4m2 (119)
V in A^3/atom: 16.8
Final energy in eV/atom: -5.225


[6]
Crystalline Na8B13C3 at its relaxed geometry, computed with PBE-GGA.

Lattice parameters (Å, degrees): 5.699 5.958 9.177 100.20 98.97 118.31
Fractional positions:
Na 0.000 0.000 0.000
Na 0.000 0.500 0.001
Na 0.249 0.749 0.501
Na 0.252 0.254 0.502
Na 0.499 0.999 0.999
Na 0.501 0.502 0.001
Na 0.749 0.749 0.499
Na 0.751 0.252 0.502
B 0.055 0.225 0.751
B 0.191 0.013 0.750
B 0.199 0.550 0.749
B 0.285 0.446 0.250
B 0.309 0.991 0.250
B 0.450 0.777 0.250
B 0.537 0.704 0.749
B 0.543 0.223 0.752
B 0.706 0.029 0.752
B 0.728 0.554 0.749
B 0.785 0.446 0.251
B 0.809 0.992 0.251
B 0.950 0.777 0.250
C 0.044 0.711 0.749
C 0.457 0.289 0.250
C 0.957 0.289 0.251

Excess energy over the best structure of this formula in the dataset in eV/atom: 0.009
Calculated formation energy in eV/atom: 0.191
Space-group type: P1 (1)
V in A^3/atom: 10.8
Final energy in eV/atom: -5.018